The following is a PBE-GGA calculation of a relaxed structure of Y6Tc2Pb, from the Alexandria database.

extended XYZ file:
```
18
Lattice="-4.5663 0.0030 -7.3035 -4.5069 -3.2353 6.5889 2.1027 7.9858 2.4491" Properties=species:S:1:pos:R:3 pbc="T T T"
Y -3.0412 0.6091 -1.1292
Y -3.9293 4.1445 2.8636
Y -6.9726 -0.7914 -1.4388
Y 0.0020 5.5450 3.1732
Y -2.3734 5.3715 5.8382
Y -4.5971 -0.6179 -4.1038
Y -5.8633 1.8838 0.6558
Y -1.1073 2.8697 1.0786
Y -4.3373 2.2799 5.9532
Y -2.6333 2.4736 -4.2188
Y -3.5093 4.2046 -0.9255
Y -3.4612 0.5489 2.6599
Tc -2.1600 5.8285 1.0622
Tc -4.8105 -1.0750 0.6722
Tc -0.9170 2.9737 -1.8070
Tc -1.5466 5.0151 -3.0475
Pb -1.2021 2.3753 4.5190
Pb 0.0000 0.0000 0.0000
```

Output
space group	No. 71
electronic total energy	-65.07	eV/f.u.
formation energy from the elements	-0.205	eV per atom
DOS at the Fermi energy	21.18	states/eV/cell
crystal system	orthorhombic